Density functional theory data (PBE-GGA) for a relaxed MgNbIn2Tc crystal.

```
MgNbIn2Tc
1.0
-1.1821 -4.7375 -0.7443
3.7212 -1.3899 2.9369
-3.0258 0.1421 3.9012
In Nb Mg Tc
2 1 1 1
Cartesian
-0.5911 -2.3688 -0.3722
-1.5129 0.0710 1.9506
1.8606 -0.6950 1.4684
0.0000 0.0000 0.0000
-0.2434 -2.9927 3.0469
```

Total magnetization (μB per cell): 2.48
Energy of formation from the pure elements (eV/atom): 1.59
SG: P4/mmm

Density functional theory data (PBE-GGA) for a relaxed MgNbV2In crystal.

```
MgNbV2In
1.0
5.0105 0.0000 0.0000
0.0000 5.2184 0.0000
0.0000 0.0000 5.0105
Nb V Mg In
1 2 1 1
Cartesian
0.0000 2.6092 0.0000
2.5053 0.0000 0.0000
0.0000 0.0000 2.5053
2.5053 2.6092 2.5053
0.0000 0.0000 0.0000
```

Total magnetization (μB per cell): 4.70
Energy of formation from the pure elements (eV/atom): 1.56
SG: P4/mmm

Density functional theory data (PBE-GGA) for a relaxed Nd5MgIn4 crystal.

```
Nd5MgIn4
1.0
-3.0044 0.2884 2.4296
1.6923 -2.5339 2.3934
8.8744 14.6496 9.2349
Nd In Mg
5 4 1
Cartesian
5.5616 9.1412 8.8818
2.0007 3.2629 5.1761
0.2244 0.3307 3.3277
7.3378 12.0734 10.7301
3.7811 6.2020 7.0289
3.5469 5.8552 3.6910
7.1271 11.7653 7.4167
1.7473 2.8843 1.8182
5.3274 8.7944 5.5439
0.0000 0.0000 0.0000
```

Total magnetization (μB per cell): 0.00
Energy of formation from the pure elements (eV/atom): -0.42
SG: P4/mmm

Density functional theory data (PBE-GGA) for a relaxed NdMg2In3 crystal.

```
NdMg2In3
1.0
-3.7435 1.2975 2.3054
-0.8593 -4.4232 1.0942
4.2728 2.9113 5.2996
Mg In Nd
2 3 1
Cartesian
0.9114 -1.9674 2.5873
2.5020 0.4555 3.8064
-2.3014 -1.5628 1.6998
0.2215 -1.1035 5.5380
-0.5516 0.8891 3.1611
0.0000 0.0000 0.0000
```

Total magnetization (μB per cell): 0.00
Energy of formation from the pure elements (eV/atom): -0.30
SG: Cmmm